1.
Density functional theory data (PBE-GGA) for Zn6CoAg after structural relaxation.

Geometry as POSCAR:
```
Zn6CoAg
1.0
5.477 0.000 0.000
-2.739 4.743 0.000
0.000 0.000 4.357
Ag Co Zn
1 1 6
Direct
0.000 0.000 0.000
0.667 0.333 0.500
0.507 0.014 0.000
0.507 0.493 0.000
0.986 0.493 0.000
0.170 0.341 0.500
0.170 0.830 0.500
0.659 0.830 0.500
```

Results
As for the size of the total moment: 0.79 μB per formula unit. Its calculated total energy is -17.649 eV per cell. Its formation energy is -0.016 eV per atom. For the polymorph energy (0 for the lowest one), the calculation gives 0.07 eV/f.u.



2.
Density functional theory data (PBE-GGA) for ZnCo2Ag after structural relaxation.

Geometry as POSCAR:
```
ZnCo2Ag
1.0
-0.880 2.632 -4.720
-3.064 -4.243 1.609
-2.647 2.662 1.978
Ag Co Zn
2 4 2
Direct
0.830 0.170 0.250
0.170 0.830 0.750
0.338 0.210 0.250
0.790 0.662 0.250
0.210 0.338 0.750
0.662 0.790 0.750
0.328 0.672 0.250
0.672 0.328 0.750
```

Results
As for the size of the total moment: 3.02 μB per formula unit. Its calculated total energy is -34.960 eV per cell. Its formation energy is 0.205 eV per atom.



3.
Density functional theory data (PBE-GGA) for ZnCo2Ag after structural relaxation.

Geometry as POSCAR:
```
ZnCo2Ag
1.0
-3.864 1.569 -0.727
-1.916 -4.962 -0.521
-0.068 2.108 4.910
Ag Co Zn
2 4 2
Direct
0.750 0.354 0.162
0.250 0.162 0.354
0.750 0.820 0.108
0.750 0.860 0.669
0.250 0.108 0.820
0.250 0.669 0.860
0.250 0.676 0.351
0.750 0.351 0.676
```

Results
As for the size of the total moment: 3.01 μB per formula unit. Its calculated total energy is -34.854 eV per cell. Its formation energy is 0.219 eV per atom.